## NaIn2H6Os (GGA-PBE)

Data for an optimized crystal structure of NaIn2H6Os.

Cell lengths 4.7573, 4.7573, 6.1342 Å; angles 90.00, 90.00, 120.00 degrees
Last column: nearest neighbours and their distance in Å.
Space group P-3m1 (No. 164)
Inequivalent atoms, fractional coordinates:
Na 0.0000 0.0000 0.0000 (multiplicity 1)  6 H 2.49
In 0.3333 0.6667 0.2805 (multiplicity 2)  6 H 2.40
H 0.1684 0.3367 0.6633 (multiplicity 6)  1 Os 1.71
Os 0.0000 0.0000 0.5000 (multiplicity 1)  6 H 1.71

Values from the calculation:
* volume: 120 Å³ per cell
* ρ: 6.20 g cm⁻³
* calculated total energy: -3.74 eV/atom
* total moment: 0.0 μB per cell